No. 1
This record from Alexandria via LeMat-Bulk describes Cs4Hg5Pd2 after structural relaxation. The functional is PBE-GGA.

Cell and atoms, written as CIF:
```
data_Cs4Hg5Pd2
_chemical_formula_sum 'Cs4 Hg5 Pd2'
_cell_length_a 5.471
_cell_length_b 8.182
_cell_length_c 9.826
_cell_angle_alpha 88.43
_cell_angle_beta 90.00
_cell_angle_gamma 90.00
_symmetry_space_group_name_H-M 'P 1'
_symmetry_Int_Tables_number 1
_symmetry_space_group_name_Hall 'P 1'
loop_
_atom_site_label
_atom_site_type_symbol
_atom_site_fract_x
_atom_site_fract_y
_atom_site_fract_z
Cs1 Cs 0.500 0.763 0.611
Cs2 Cs 0.500 0.220 0.853
Cs3 Cs 0.500 0.237 0.389
Cs4 Cs 0.500 0.780 0.147
Hg1 Hg 0.000 0.608 0.366
Hg2 Hg 0.000 0.122 0.131
Hg3 Hg 0.000 0.500 0.000
Hg4 Hg 0.000 0.878 0.869
Hg5 Hg 0.000 0.392 0.634
Pd1 Pd 0.000 0.055 0.627
Pd2 Pd 0.000 0.945 0.373
```

Calculated values
density of states at the Fermi level: 4.72 states/eV/f.u.
energy of formation: -0.175 eV/atom
crystal system: monoclinic
M_tot: 0.00 μB/cell
total energy: -1.5669 eV/atom

=====

No. 2
This record from Alexandria via LeMat-Bulk describes Cs2Hg4Pd after structural relaxation. The functional is PBE-GGA.

Cell and atoms, written as CIF:
```
data_Cs2Hg4Pd
_chemical_formula_sum 'Cs2 Hg4 Pd1'
_cell_length_a 5.488
_cell_length_b 5.488
_cell_length_c 10.143
_cell_angle_alpha 74.31
_cell_angle_beta 74.31
_cell_angle_gamma 90.00
_symmetry_space_group_name_H-M 'P 1'
_symmetry_Int_Tables_number 1
_symmetry_space_group_name_Hall 'P 1'
loop_
_atom_site_label
_atom_site_type_symbol
_atom_site_fract_x
_atom_site_fract_y
_atom_site_fract_z
Cs1 Cs 0.645 0.645 0.710
Cs2 Cs 0.355 0.355 0.290
Hg1 Hg 0.853 0.853 0.295
Hg2 Hg 0.147 0.147 0.705
Hg3 Hg 0.000 0.500 0.000
Hg4 Hg 0.500 0.000 0.000
Pd1 Pd 0.000 0.000 0.000
```

Calculated values
density of states at the Fermi level: 2.95 states/eV/f.u.
energy of formation: -0.259 eV/atom
crystal system: tetragonal
M_tot: 0.00 μB/cell
relative energy among the computed polymorphs: 0 meV per atom
total energy: -1.4170 eV/atom

=====

No. 3
This record from Alexandria via LeMat-Bulk describes CsHg6Pd2 after structural relaxation. The functional is PBE-GGA.

Cell and atoms, written as CIF:
```
data_CsHg6Pd2
_chemical_formula_sum 'Cs1 Hg6 Pd2'
_cell_length_a 5.379
_cell_length_b 5.379
_cell_length_c 10.750
_cell_angle_alpha 90.00
_cell_angle_beta 90.00
_cell_angle_gamma 90.00
_symmetry_space_group_name_H-M 'P 1'
_symmetry_Int_Tables_number 1
_symmetry_space_group_name_Hall 'P 1'
loop_
_atom_site_label
_atom_site_type_symbol
_atom_site_fract_x
_atom_site_fract_y
_atom_site_fract_z
Cs1 Cs 0.000 0.000 0.500
Hg1 Hg 0.500 0.000 0.775
Hg2 Hg 0.000 0.500 0.775
Hg3 Hg 0.500 0.000 0.225
Hg4 Hg 0.000 0.500 0.225
Hg5 Hg 0.500 0.500 0.500
Hg6 Hg 0.500 0.500 0.000
Pd1 Pd 0.500 0.500 0.750
Pd2 Pd 0.500 0.500 0.250
```

Calculated values
density of states at the Fermi level: 3.65 states/eV/f.u.
energy of formation: -0.182 eV/atom
crystal system: tetragonal
M_tot: 0.00 μB/cell
relative energy among the computed polymorphs: 0 meV per atom
total energy: -1.6319 eV/atom

=====

No. 4
This record from Alexandria via LeMat-Bulk describes Cs3HgPd after structural relaxation. The functional is PBE-GGA.

Cell and atoms, written as CIF:
```
data_Cs3HgPd
_chemical_formula_sum 'Cs6 Hg2 Pd2'
_cell_length_a 5.185
_cell_length_b 10.904
_cell_length_c 10.398
_cell_angle_alpha 90.00
_cell_angle_beta 90.01
_cell_angle_gamma 90.00
_symmetry_space_group_name_H-M 'P 1'
_symmetry_Int_Tables_number 1
_symmetry_space_group_name_Hall 'P 1'
loop_
_atom_site_label
_atom_site_type_symbol
_atom_site_fract_x
_atom_site_fract_y
_atom_site_fract_z
Cs1 Cs 0.250 0.056 0.344
Cs2 Cs 0.750 0.944 0.656
Cs3 Cs 0.250 0.444 0.344
Cs4 Cs 0.750 0.556 0.656
Cs5 Cs 0.749 0.250 0.926
Cs6 Cs 0.251 0.750 0.074
Hg1 Hg 0.250 0.250 0.647
Hg2 Hg 0.750 0.750 0.353
Pd1 Pd 0.749 0.250 0.567
Pd2 Pd 0.251 0.750 0.433
```

Calculated values
density of states at the Fermi level: 2.29 states/eV/f.u.
energy of formation: -0.117 eV/atom
crystal system: monoclinic
M_tot: 0.00 μB/cell
relative energy among the computed polymorphs: 0 meV per atom
total energy: -1.7278 eV/atom

=====

No. 5
This record from Alexandria via LeMat-Bulk describes Cs2Hg6PdPt after structural relaxation. The functional is PBE-GGA.

Cell and atoms, written as CIF:
```
data_Cs2Hg6PdPt
_chemical_formula_sum 'Cs2 Hg6 Pd1 Pt1'
_cell_length_a 5.458
_cell_length_b 5.458
_cell_length_c 10.921
_cell_angle_alpha 90.00
_cell_angle_beta 90.00
_cell_angle_gamma 90.00
_symmetry_space_group_name_H-M 'P 1'
_symmetry_Int_Tables_number 1
_symmetry_space_group_name_Hall 'P 1'
loop_
_atom_site_label
_atom_site_type_symbol
_atom_site_fract_x
_atom_site_fract_y
_atom_site_fract_z
Cs1 Cs 0.000 0.000 0.750
Cs2 Cs 0.000 0.000 0.250
Hg1 Hg 0.500 0.000 0.000
Hg2 Hg 0.500 0.000 0.500
Hg3 Hg 0.000 0.500 0.000
Hg4 Hg 0.000 0.500 0.500
Hg5 Hg 0.500 0.500 0.750
Hg6 Hg 0.500 0.500 0.250
Pd1 Pd 0.500 0.500 0.000
Pt1 Pt 0.500 0.500 0.500
```

Calculated values
density of states at the Fermi level: 1.49 states/eV/f.u.
energy of formation: -0.294 eV/atom
crystal system: tetragonal
M_tot: 0.00 μB/cell
total energy: -1.7692 eV/atom

=====

No. 6
This record from Alexandria via LeMat-Bulk describes Cs6Rb2HgPd after structural relaxation. The functional is PBE-GGA.

Cell and atoms, written as CIF:
```
data_Cs6Rb2HgPd
_chemical_formula_sum 'Cs6 Rb2 Hg1 Pd1'
_cell_length_a 10.489
_cell_length_b 10.489
_cell_length_c 10.489
_cell_angle_alpha 120.03
_cell_angle_beta 120.03
_cell_angle_gamma 89.99
_symmetry_space_group_name_H-M 'P 1'
_symmetry_Int_Tables_number 1
_symmetry_space_group_name_Hall 'P 1'
loop_
_atom_site_label
_atom_site_type_symbol
_atom_site_fract_x
_atom_site_fract_y
_atom_site_fract_z
Cs1 Cs 0.765 0.766 0.999
Cs2 Cs 0.765 0.766 0.530
Cs3 Cs 0.235 0.235 0.001
Cs4 Cs 0.766 0.235 0.000
Cs5 Cs 0.234 0.235 0.469
Cs6 Cs 0.235 0.766 0.000
Rb1 Rb 0.751 0.250 0.500
Rb2 Rb 0.250 0.751 0.500
Hg1 Hg 0.500 0.500 0.999
Pd1 Pd 0.000 0.000 0.000
```

Calculated values
density of states at the Fermi level: 11.13 states/eV/f.u.
energy of formation: -0.011 eV/atom
crystal system: monoclinic
M_tot: 0.08 μB/cell
total energy: -1.2665 eV/atom

=====

No. 7
This record from Alexandria via LeMat-Bulk describes CsRb2HgPd after structural relaxation. The functional is PBE-GGA.

Cell and atoms, written as CIF:
```
data_CsRb2HgPd
_chemical_formula_sum 'Cs1 Rb2 Hg1 Pd1'
_cell_length_a 6.683
_cell_length_b 6.683
_cell_length_c 5.485
_cell_angle_alpha 90.00
_cell_angle_beta 90.00
_cell_angle_gamma 90.00
_symmetry_space_group_name_H-M 'P 1'
_symmetry_Int_Tables_number 1
_symmetry_space_group_name_Hall 'P 1'
loop_
_atom_site_label
_atom_site_type_symbol
_atom_site_fract_x
_atom_site_fract_y
_atom_site_fract_z
Cs1 Cs 0.500 0.500 0.500
Rb1 Rb 0.000 0.500 0.000
Rb2 Rb 0.500 0.000 0.000
Hg1 Hg 0.000 0.000 0.500
Pd1 Pd 0.000 0.000 0.000
```

Calculated values
density of states at the Fermi level: 3.05 states/eV/f.u.
energy of formation: -0.017 eV/atom
crystal system: tetragonal
M_tot: 0.00 μB/cell
relative energy among the computed polymorphs: 0 meV per atom
total energy: -1.6739 eV/atom

=====

No. 8
This record from Alexandria via LeMat-Bulk describes CsRb2HgPd after structural relaxation. The functional is PBE-GGA.

Cell and atoms, written as CIF:
```
data_CsRb2HgPd
_chemical_formula_sum 'Cs1 Rb2 Hg1 Pd1'
_cell_length_a 6.947
_cell_length_b 6.947
_cell_length_c 5.355
_cell_angle_alpha 90.00
_cell_angle_beta 90.00
_cell_angle_gamma 90.00
_symmetry_space_group_name_H-M 'P 1'
_symmetry_Int_Tables_number 1
_symmetry_space_group_name_Hall 'P 1'
loop_
_atom_site_label
_atom_site_type_symbol
_atom_site_fract_x
_atom_site_fract_y
_atom_site_fract_z
Cs1 Cs 0.500 0.500 0.500
Rb1 Rb 0.000 0.500 0.000
Rb2 Rb 0.500 0.000 0.000
Hg1 Hg 0.000 0.000 0.000
Pd1 Pd 0.000 0.000 0.500
```

Calculated values
density of states at the Fermi level: 2.38 states/eV/f.u.
energy of formation: 0.061 eV/atom
crystal system: tetragonal
M_tot: 0.00 μB/cell
relative energy among the computed polymorphs: 78 meV per atom
total energy: -1.5960 eV/atom

=====

No. 9
This record from Alexandria via LeMat-Bulk describes Cs2RbHgPd after structural relaxation. The functional is PBE-GGA.

Cell and atoms, written as CIF:
```
data_Cs2RbHgPd
_chemical_formula_sum 'Cs2 Rb1 Hg1 Pd1'
_cell_length_a 6.692
_cell_length_b 6.692
_cell_length_c 6.547
_cell_angle_alpha 90.00
_cell_angle_beta 90.00
_cell_angle_gamma 90.00
_symmetry_space_group_name_H-M 'P 1'
_symmetry_Int_Tables_number 1
_symmetry_space_group_name_Hall 'P 1'
loop_
_atom_site_label
_atom_site_type_symbol
_atom_site_fract_x
_atom_site_fract_y
_atom_site_fract_z
Cs1 Cs 0.000 0.500 0.000
Cs2 Cs 0.500 0.000 0.000
Rb1 Rb 0.000 0.000 0.500
Hg1 Hg 0.500 0.500 0.500
Pd1 Pd 0.000 0.000 0.000
```

Calculated values
density of states at the Fermi level: 5.08 states/eV/f.u.
energy of formation: 0.045 eV/atom
crystal system: tetragonal
M_tot: 0.42 μB/cell
relative energy among the computed polymorphs: 69 meV per atom
total energy: -1.5888 eV/atom

=====

No. 10
This record from Alexandria via LeMat-Bulk describes CsRb2Hg7Pd2 after structural relaxation. The functional is PBE-GGA.

Cell and atoms, written as CIF:
```
data_CsRb2Hg7Pd2
_chemical_formula_sum 'Cs1 Rb2 Hg7 Pd2'
_cell_length_a 5.437
_cell_length_b 5.437
_cell_length_c 15.084
_cell_angle_alpha 79.56
_cell_angle_beta 79.56
_cell_angle_gamma 89.98
_symmetry_space_group_name_H-M 'P 1'
_symmetry_Int_Tables_number 1
_symmetry_space_group_name_Hall 'P 1'
loop_
_atom_site_label
_atom_site_type_symbol
_atom_site_fract_x
_atom_site_fract_y
_atom_site_fract_z
Cs1 Cs 0.000 0.000 0.000
Rb1 Rb 0.812 0.812 0.371
Rb2 Rb 0.188 0.188 0.629
Hg1 Hg 0.500 0.500 0.000
Hg2 Hg 0.308 0.308 0.378
Hg3 Hg 0.692 0.692 0.622
Hg4 Hg 0.900 0.401 0.194
Hg5 Hg 0.401 0.900 0.194
Hg6 Hg 0.599 0.100 0.806
Hg7 Hg 0.100 0.599 0.806
Pd1 Pd 0.597 0.597 0.811
Pd2 Pd 0.403 0.403 0.189
```

Calculated values
density of states at the Fermi level: 2.97 states/eV/f.u.
energy of formation: -0.251 eV/atom
crystal system: monoclinic
M_tot: 0.00 μB/cell
total energy: -1.5249 eV/atom